# 1
Entry from the Alexandria database: a relaxed structure of SmSn4Bi (GGA-PBE).

Values from the calculation:
The value obtained for the density is 8.1 g/cm3. Its density of states at the Fermi level is 2.7 states/eV per cell. As for the magnetization: 0.0 Bohr magnetons per cell.

Structure (extended XYZ):
```
6
Lattice="0.0000 4.3966 4.3966 4.3966 0.0000 4.3966 4.3966 4.3966 0.0000" Properties=species:S:1:pos:R:3 pbc="T T T"
Sm 0.0000 0.0000 0.0000
Sn 5.4982 3.2951 3.2951
Sn 3.2951 5.4982 3.2951
Sn 3.2951 3.2951 5.4982
Sn 5.4982 5.4982 5.4982
Bi 2.1983 2.1983 2.1983
```

=====

# 2
Entry from the Alexandria database: a relaxed structure of PrHoRu4 (GGA-PBE).

Values from the calculation:
The value obtained for the density is 10.7 g/cm3. Its density of states at the Fermi level is 6.8 states/eV per cell. As for the magnetization: 0.0 Bohr magnetons per cell.

Structure (extended XYZ):
```
6
Lattice="0.0000 3.8087 3.8087 3.8087 0.0000 3.8087 3.8087 3.8087 0.0000" Properties=species:S:1:pos:R:3 pbc="T T T"
Pr 0.0000 0.0000 0.0000
Ho 1.9043 1.9043 1.9043
Ru 4.7583 2.8590 2.8590
Ru 2.8590 4.7583 2.8590
Ru 2.8590 2.8590 4.7583
Ru 4.7583 4.7583 4.7583
```

=====

# 3
Entry from the Alexandria database: a relaxed structure of Y4As (GGA-PBE).

Values from the calculation:
The value obtained for the density is 4.3 g/cm3. Its density of states at the Fermi level is 8.8 states/eV per cell. Its energy above the lowest structure with this stoichiometry is 0.000 eV per atom. As for the magnetization: 2.2 Bohr magnetons per cell.

Structure (extended XYZ):
```
5
Lattice="5.4978 0.0000 0.0000 0.0000 5.4978 0.0000 0.0000 0.0000 5.4978" Properties=species:S:1:pos:R:3 pbc="T T T"
Y 0.0000 0.0000 0.0000
Y 0.0000 2.7489 2.7489
Y 2.7489 0.0000 2.7489
Y 2.7489 2.7489 0.0000
As 2.7489 2.7489 2.7489
```

=====

# 4
Entry from the Alexandria database: a relaxed structure of HfTaNb2Pt (GGA-PBE).

Values from the calculation:
The value obtained for the density is 10.6 g/cm3. Its density of states at the Fermi level is 8.4 states/eV per cell. As for the magnetization: 0.0 Bohr magnetons per cell.

Structure (extended XYZ):
```
5
Lattice="4.7853 0.0000 0.0000 0.0000 4.7853 0.0000 0.0000 0.0000 5.0627" Properties=species:S:1:pos:R:3 pbc="T T T"
Hf 0.0000 0.0000 0.0000
Ta 0.0000 0.0000 2.5313
Nb 0.0000 2.3926 2.5313
Nb 2.3926 0.0000 2.5313
Pt 2.3926 2.3926 0.0000
```

=====

Number 1: formation energy -0.17 eV/atom. Number 2: formation energy -0.20 eV/atom. Number 3: formation energy -0.34 eV/atom. Number 4: formation energy 1.33 eV/atom.